P.
# HoPd4Au2 PBE-GGA optimized geometry
data_HoPd4Au2
_chemical_formula_sum 'Ho2 Pd8 Au4'
_cell_length_a 5.790
_cell_length_b 7.292
_cell_length_c 7.379
_cell_angle_alpha 118.15
_cell_angle_beta 112.03
_cell_angle_gamma 91.24
_space_group_name_H-M_alt 'P 1'
_space_group_IT_number 1
loop_
_space_group_symop_operation_xyz
'x,y,z'
loop_
_atom_site_label
_atom_site_fract_x
_atom_site_fract_y
_atom_site_fract_z
Ho1 0.000 0.000 0.000
Ho2 0.260 0.663 0.522
Pd1 0.282 0.382 0.077
Pd2 0.434 0.572 0.857
Pd3 0.467 0.289 0.436
Pd4 0.508 0.015 0.017
Pd5 0.822 0.100 0.656
Pd6 0.882 0.835 0.255
Pd7 0.929 0.559 0.844
Pd8 0.960 0.286 0.432
Au1 0.319 0.117 0.664
Au2 0.380 0.834 0.252
Au3 0.745 0.653 0.492
Au4 0.784 0.383 0.071
# DOS at the Fermi energy ... 0.35 states/eV per atom

***

Q.
# HoPd4Au2 PBE-GGA optimized geometry
data_HoPd4Au2
_chemical_formula_sum 'Ho2 Pd8 Au4'
_cell_length_a 8.218
_cell_length_b 8.414
_cell_length_c 3.783
_cell_angle_alpha 90.00
_cell_angle_beta 90.00
_cell_angle_gamma 90.00
_space_group_name_H-M_alt 'C m m m'
_space_group_IT_number 65
_space_group_name_Hall '-C 2 2'
loop_
_atom_site_label
_atom_site_fract_x
_atom_site_fract_y
_atom_site_fract_z
Ho1 0.000 0.000 0.000
Pd1 0.000 0.251 0.500
Pd2 0.250 0.250 0.000
Au1 0.220 0.500 0.500
# DOS at the Fermi energy ... 0.49 states/eV per atom

***

In order of decreasing stability: P, Q.

***

P.
# HoPdPtAu PBE-GGA optimized geometry
data_HoPdPtAu
_chemical_formula_sum 'Ho1 Pd1 Pt1 Au1'
_cell_length_a 3.999
_cell_length_b 4.232
_cell_length_c 4.257
_cell_angle_alpha 90.00
_cell_angle_beta 90.00
_cell_angle_gamma 90.00
_space_group_name_H-M_alt 'P m m m'
_space_group_IT_number 47
loop_
_space_group_symop_operation_xyz
'x,y,z'
'-x,-y,-z'
'-x,-y,z'
'x,y,-z'
'x,-y,-z'
'-x,y,z'
'-x,y,-z'
'x,-y,z'
loop_
_atom_site_label
_atom_site_fract_x
_atom_site_fract_y
_atom_site_fract_z
Ho1 0.000 0.000 0.000
Pd1 0.500 0.500 0.000
Pt1 0.500 0.000 0.500
Au1 0.000 0.500 0.500
# DOS at the Fermi energy ... 0.22 states/eV per atom

***

Q.
# HoPdPtAu PBE-GGA optimized geometry
data_HoPdPtAu
_chemical_formula_sum 'Ho4 Pd4 Pt4 Au4'
_cell_length_a 6.672
_cell_length_b 6.672
_cell_length_c 6.672
_cell_angle_alpha 90.00
_cell_angle_beta 90.00
_cell_angle_gamma 90.00
_space_group_name_H-M_alt 'F -4 3 m'
_space_group_IT_number 216
_space_group_name_Hall 'F -4 2 3'
loop_
_atom_site_label
_atom_site_fract_x
_atom_site_fract_y
_atom_site_fract_z
Ho1 0.000 0.000 0.000
Pd1 0.250 0.250 0.250
Pt1 0.250 0.250 0.750
Au1 0.000 0.000 0.500
# DOS at the Fermi energy ... 0.28 states/eV per atom

***

In order of decreasing stability: P, Q.

***

P.
# PmHo2Au2 PBE-GGA optimized geometry
data_PmHo2Au2
_chemical_formula_sum 'Pm2 Ho4 Au4'
_cell_length_a 8.223
_cell_length_b 8.223
_cell_length_c 3.795
_cell_angle_alpha 90.00
_cell_angle_beta 90.00
_cell_angle_gamma 90.00
_space_group_name_H-M_alt 'P 4/m b m'
_space_group_IT_number 127
_space_group_name_Hall '-P 4 2ab'
loop_
_atom_site_label
_atom_site_fract_x
_atom_site_fract_y
_atom_site_fract_z
Pm1 0.000 0.000 0.000
Ho1 0.162 0.338 0.500
Au1 0.131 0.631 0.000
# DOS at the Fermi energy ... 1.11 states/eV per atom

***

Q.
# PmHo2Au2 PBE-GGA optimized geometry
data_PmHo2Au2
_chemical_formula_sum 'Pm1 Ho2 Au2'
_cell_length_a 5.0125
_cell_length_b 5.0125
_cell_length_c 6.3396
_cell_angle_alpha 90.00
_cell_angle_beta 90.00
_cell_angle_gamma 120.00
_space_group_name_H-M_alt 'P -3 m 1'
_space_group_IT_number 164
_space_group_name_Hall '-P 3 2"'
loop_
_atom_site_label
_atom_site_fract_x
_atom_site_fract_y
_atom_site_fract_z
Pm1 0.0000 0.0000 0.0000
Ho1 0.3333 0.6667 0.6666
Au1 0.3333 0.6667 0.2057
# DOS at the Fermi energy ... 0.89 states/eV per atom

***

In order of decreasing stability: P, Q.

***

P.
# PmHo3Au2 PBE-GGA optimized geometry
data_PmHo3Au2
_chemical_formula_sum 'Pm2 Ho6 Au4'
_cell_length_a 4.973
_cell_length_b 8.961
_cell_length_c 7.164
_cell_angle_alpha 90.00
_cell_angle_beta 90.00
_cell_angle_gamma 90.00
_space_group_name_H-M_alt 'P m c 21'
_space_group_IT_number 26
loop_
_space_group_symop_operation_xyz
'x,y,z'
'-x,-y,z+1/2'
'-x,y,z'
'x,-y,z+1/2'
loop_
_atom_site_label
_atom_site_fract_x
_atom_site_fract_y
_atom_site_fract_z
Pm1 0.000 0.075 0.000
Ho1 0.000 0.332 0.636
Ho2 0.500 0.171 0.338
Ho3 0.500 0.429 0.975
Au1 0.000 0.353 0.235
Au2 0.500 0.156 0.742
# DOS at the Fermi energy ... 1.07 states/eV per atom

***

Q.
# PmHo3Au2 PBE-GGA optimized geometry
data_PmHo3Au2
_chemical_formula_sum 'Pm4 Ho12 Au8'
_cell_length_a 16.105
_cell_length_b 5.186
_cell_length_c 8.507
_cell_angle_alpha 90.00
_cell_angle_beta 113.69
_cell_angle_gamma 90.00
_space_group_name_H-M_alt 'C 1 2/m 1'
_space_group_IT_number 12
loop_
_space_group_symop_operation_xyz
'x,y,z'
'-x,-y,-z'
'-x,y,-z'
'x,-y,z'
'x+1/2,y+1/2,z'
'-x+1/2,-y+1/2,-z'
'-x+1/2,y+1/2,-z'
'x+1/2,-y+1/2,z'
loop_
_atom_site_label
_atom_site_fract_x
_atom_site_fract_y
_atom_site_fract_z
Pm1 0.136 0.000 0.205
Ho1 0.064 0.000 0.735
Ho2 0.126 0.500 0.509
Ho3 0.193 0.500 0.996
Au1 0.001 0.500 0.836
Au2 0.217 0.000 0.628
# DOS at the Fermi energy ... 0.95 states/eV per atom

***

In order of decreasing stability: P, Q.